(1)
Entry from Alexandria: Sr2CaRe at its PBEsol-relaxed geometry (meta-GGA SCAN).

Values from the calculation:
Space-group type = P4mm (99)
M_tot = 0.54 μB/atom

a = 3.544 Å, b = 3.544 Å, c = 10.443 Å
α = 90.00°, β = 90.00°, γ = 90.00°
Site moments in Bohr magnetons follow the coordinates.
Element x y z (fractional)
Re 0.500 0.500 0.261  1.35
Ca 0.000 0.000 0.424  0.04
Sr 0.000 0.000 0.076  0.03
Sr 0.500 0.500 0.739  0.04



(2)
Entry from Alexandria: NiWS2O at its PBEsol-relaxed geometry (meta-GGA SCAN).

Values from the calculation:
Space-group type = P4/mmm (123)
ΔE_f (raw) = 0.42 eV per atom
M_tot = 0.29 μB/atom

a = 3.364 Å, b = 4.486 Å, c = 4.486 Å
α = 90.00°, β = 90.00°, γ = 90.00°
Site moments in Bohr magnetons follow the coordinates.
Element x y z (fractional)
Ni 0.000 0.000 0.000  -0.39
S 0.000 0.000 0.500  -0.10
S 0.000 0.500 0.000  -0.10
O 0.500 0.000 0.000  -0.27
W 0.500 0.500 0.500  1.92



(3)
Entry from Alexandria: In2CuTe at its PBEsol-relaxed geometry (meta-GGA SCAN).

Values from the calculation:
Space-group type = Immm (71)
ΔE_f (raw) = 0.08 eV per atom
M_tot = 0.00 μB/atom

a = 3.654 Å, b = 4.110 Å, c = 6.828 Å
α = 107.52°, β = 105.52°, γ = 90.00°
Element x y z (fractional)
Cu 0.500 0.000 0.000
In 0.811 0.811 0.623
In 0.189 0.189 0.377
Te 0.000 0.500 0.000



(4)
Entry from Alexandria: SiSe2I at its PBEsol-relaxed geometry (meta-GGA SCAN).

Values from the calculation:
Space-group type = R-3m (166)
ΔE_f (raw) = 0.48 eV per atom
M_tot = 0.00 μB/atom

a = 3.886 Å, b = 3.886 Å, c = 9.490 Å
α = 78.19°, β = 78.19°, γ = 60.00°
Element x y z (fractional)
I 0.500 0.500 0.500
Si 0.000 0.000 0.000
Se 0.924 0.924 0.229
Se 0.076 0.076 0.771



(5)
Entry from Alexandria: CoP3C at its PBEsol-relaxed geometry (meta-GGA SCAN).

Values from the calculation:
Space-group type = Pm-3m (221)
M_tot = 0.00 μB/atom

a = 3.847 Å, b = 3.847 Å, c = 3.847 Å
α = 90.00°, β = 90.00°, γ = 90.00°
Element x y z (fractional)
P 0.000 0.500 0.000
P 0.000 0.000 0.500
P 0.500 0.000 0.000
C 0.000 0.000 0.000
Co 0.500 0.500 0.500



(6)
Entry from Alexandria: SrTe2Se at its PBEsol-relaxed geometry (meta-GGA SCAN).

Values from the calculation:
Space-group type = I-42d (122)
ΔE_f (raw) = -0.56 eV per atom
M_tot = 0.00 μB/atom

a = 6.200 Å, b = 6.200 Å, c = 9.464 Å
α = 109.12°, β = 109.12°, γ = 90.00°
Element x y z (fractional)
Sr 0.250 0.750 0.500
Sr 0.000 0.000 0.000
Te 0.452 0.875 0.250
Te 0.798 0.375 0.250
Te 0.125 0.202 0.750
Te 0.625 0.548 0.750
Se 0.750 0.250 0.500
Se 0.500 0.500 0.000



| no. | ρ (g cm⁻³) | E_tot (eV per atom) |
| --- | --- | --- |
| 1 | 5.1 | -30.5153 |
| 2 | 7.9 | -21.8526 |
| 3 | 7.4 | -29.7266 |
| 4 | 4.3 | -21.2491 |
| 5 | 4.8 | -10.4030 |
| 6 | 4.3 | -29.7739 |